(1)
Compound: Na3Ce2SmTe6
Source: Alexandria via LeMat-Bulk
Functional: PBE-GGA
Structure: optimized geometry

Summary:
* DOS at the Fermi energy: 1.108 states/eV per atom
* symmetry: C2/m, No. 12
* raw formation energy: -1281 meV/atom

abc: 7.8891 7.8891 7.9688
angles: 99.51 99.51 119.99
Element x y z (fractional)
Na (0.1668, 0.8332, 0.5000)
Na (0.8332, 0.1668, 0.5000)
Na (0.5000, 0.5000, 0.5000)
Ce (0.3333, 0.6667, 0.0000)
Ce (0.6667, 0.3333, 0.0000)
Sm (0.0000, 0.0000, 0.0000)
Te (0.9204, 0.5903, 0.7612)
Te (0.7494, 0.7494, 0.2385)
Te (0.0796, 0.4097, 0.2388)
Te (0.5903, 0.9204, 0.7612)
Te (0.2506, 0.2506, 0.7615)
Te (0.4097, 0.0796, 0.2388)

=====

(2)
Compound: SrAcNi2H6
Source: Alexandria via LeMat-Bulk
Functional: PBE-GGA
Structure: optimized geometry

Summary:
* total DFT energy (no corrections): -0.152 hartree per atom
* DOS at the Fermi energy: 0.266 states/eV per atom
* symmetry: C2/c, No. 15

abc: 6.4151 6.4151 6.5245
angles: 102.78 102.78 104.77
Element x y z (fractional)
Sr (0.5784, 0.4216, 0.2500)
Sr (0.4216, 0.5784, 0.7500)
Ac (0.1567, 0.8433, 0.2500)
Ac (0.8433, 0.1567, 0.7500)
Ni (0.3150, 0.0314, 0.8027)
Ni (0.9686, 0.6850, 0.6973)
Ni (0.6850, 0.9686, 0.1973)
Ni (0.0314, 0.3150, 0.3027)
H (0.9107, 0.4204, 0.1298)
H (0.5796, 0.0893, 0.3702)
H (0.0893, 0.5796, 0.8702)
H (0.4204, 0.9107, 0.6298)
H (0.2037, 0.1091, 0.9839)
H (0.8909, 0.7963, 0.5161)
H (0.7963, 0.8909, 0.0161)
H (0.1091, 0.2037, 0.4839)
H (0.2641, 0.5121, 0.3548)
H (0.4879, 0.7359, 0.1452)
H (0.7359, 0.4879, 0.6452)
H (0.5121, 0.2641, 0.8548)

=====

(3)
Compound: ReSiW2
Source: Alexandria via LeMat-Bulk
Functional: PBE-GGA
Structure: optimized geometry

Summary:
* DOS at the Fermi energy: 0.712 states/eV per atom
* symmetry: P4mm, No. 99
* raw formation energy: 46 meV/atom

abc: 3.1508 3.1508 5.9954
angles: 90.00 90.00 90.00
Element x y z (fractional)
Re (0.0000, 0.0000, 0.5124)
Si (0.5000, 0.5000, 0.7489)
W (0.0000, 0.0000, 0.9873)
W (0.5000, 0.5000, 0.2513)

=====

(4)
Compound: Cs2GaGeS4
Source: Alexandria via LeMat-Bulk
Functional: PBE-GGA
Structure: optimized geometry

Summary:
* DOS at the Fermi energy: 0.522 states/eV per atom
* symmetry: Fddd, No. 70
* raw formation energy: -838 meV/atom

abc: 6.1092 7.8104 12.7777
angles: 84.64 76.17 66.98
Element x y z (fractional)
Cs (0.1780, 0.0000, 0.6440)
Cs (0.8220, 0.0000, 0.3560)
Cs (0.5720, 0.5000, 0.8560)
Cs (0.9280, 0.5000, 0.1440)
Ga (0.7500, 0.5000, 0.5000)
Ga (0.0000, 0.0000, 0.0000)
Ge (0.2500, 0.5000, 0.5000)
Ge (0.5000, 0.0000, 0.0000)
S (0.2758, 0.8194, 0.1006)
S (0.1959, 0.1806, 0.8994)
S (0.9048, 0.8194, 0.8994)
S (0.6236, 0.1806, 0.1006)
S (0.4742, 0.6806, 0.3994)
S (0.5541, 0.3194, 0.6006)
S (0.8452, 0.6806, 0.6006)
S (0.1264, 0.3194, 0.3994)

=====

(5)
Compound: Y2MgInCo
Source: Alexandria via LeMat-Bulk
Functional: PBE-GGA
Structure: optimized geometry

Summary:
* calculated formation energy: -119 meV per atom
* DOS at the Fermi energy: 0.880 states/eV per atom
* symmetry: P4/mmm, No. 123

abc: 5.0657 5.0657 4.9795
angles: 90.00 90.00 90.00
Element x y z (fractional)
Y (0.0000, 0.5000, 0.0000)
Y (0.5000, 0.0000, 0.0000)
Mg (0.0000, 0.0000, 0.5000)
Co (0.0000, 0.0000, 0.0000)
In (0.5000, 0.5000, 0.5000)

=====

(6)
Compound: Dy6Zn3Ag
Source: Alexandria via LeMat-Bulk
Functional: PBE-GGA
Structure: optimized geometry

Summary:
* calculated formation energy: -212 meV per atom
* DOS at the Fermi energy: 0.848 states/eV per atom
* symmetry: P2_1/m, No. 11

abc: 5.0075 9.2395 11.3310
angles: 108.22 90.00 90.00
Element x y z (fractional)
Dy (0.2500, 0.4824, 0.1050)
Dy (0.7500, 0.5176, 0.8950)
Dy (0.2500, 0.1210, 0.1545)
Dy (0.7500, 0.8790, 0.8455)
Dy (0.2500, 0.6443, 0.6886)
Dy (0.7500, 0.3557, 0.3114)
Dy (0.2500, 0.2704, 0.4942)
Dy (0.7500, 0.7296, 0.5058)
Dy (0.2500, 0.8588, 0.3348)
Dy (0.7500, 0.1412, 0.6652)
Dy (0.2500, 0.1296, 0.8782)
Dy (0.7500, 0.8704, 0.1218)
Zn (0.2500, 0.5397, 0.3866)
Zn (0.7500, 0.4603, 0.6134)
Zn (0.2500, 0.3686, 0.7689)
Zn (0.7500, 0.6314, 0.2311)
Zn (0.2500, 0.7706, 0.9745)
Zn (0.7500, 0.2294, 0.0255)
Ag (0.2500, 0.9291, 0.6208)
Ag (0.7500, 0.0709, 0.3792)

=====

(7)
Compound: Si5Mo10P
Source: Alexandria via LeMat-Bulk
Functional: PBE-GGA
Structure: optimized geometry

Summary:
* DOS at the Fermi energy: 0.546 states/eV per atom
* symmetry: I422, No. 97
* raw formation energy: -395 meV/atom

abc: 7.2609 7.2609 7.2609
angles: 96.62 96.62 140.31
Element x y z (fractional)
Si (0.4172, 0.5828, 0.5000)
Si (0.0828, 0.9172, 0.5000)
Si (0.9172, 0.4172, 0.8344)
Si (0.5828, 0.0828, 0.1656)
Si (0.5000, 0.5000, 0.0000)
Mo (0.3238, 0.0255, 0.8537)
Mo (0.1718, 0.4702, 0.1463)
Mo (0.8282, 0.9745, 0.2984)
Mo (0.6762, 0.5298, 0.7016)
Mo (0.0255, 0.1718, 0.7016)
Mo (0.4702, 0.3238, 0.2984)
Mo (0.9745, 0.6762, 0.1463)
Mo (0.5298, 0.8282, 0.8537)
Mo (0.0000, 0.5000, 0.5000)
Mo (0.5000, 0.0000, 0.5000)
P (0.0000, 0.0000, 0.0000)

=====

(8)
Compound: SiTc3Sb
Source: Alexandria via LeMat-Bulk
Functional: PBE-GGA
Structure: optimized geometry

Summary:
* excess energy over the best structure of this formula in the dataset: 0 meV/atom
* DOS at the Fermi energy: 0.681 states/eV per atom
* symmetry: Pm-3m, No. 221
* raw formation energy: 695 meV/atom

abc: 4.4481 4.4481 4.4481
angles: 90.00 90.00 90.00
Element x y z (fractional)
Sb (0.5000, 0.5000, 0.5000)
Si (0.0000, 0.0000, 0.0000)
Tc (0.0000, 0.5000, 0.0000)
Tc (0.0000, 0.0000, 0.5000)
Tc (0.5000, 0.0000, 0.0000)

=====

(9)
Compound: PmHo2Er3S6
Source: Alexandria via LeMat-Bulk
Functional: PBE-GGA
Structure: optimized geometry

Summary:
* DOS at the Fermi energy: 0.406 states/eV per atom
* symmetry: C2/m, No. 12
* raw formation energy: -1976 meV/atom

abc: 6.7549 6.7549 6.7601
angles: 99.56 99.56 120.19
Element x y z (fractional)
Pm (0.0000, 0.0000, 0.0000)
Ho (0.3340, 0.6660, 0.0000)
Ho (0.6660, 0.3340, 0.0000)
Er (0.1625, 0.8375, 0.5000)
Er (0.8375, 0.1625, 0.5000)
Er (0.5000, 0.5000, 0.5000)
S (0.9143, 0.5724, 0.7426)
S (0.7433, 0.7433, 0.2545)
S (0.0857, 0.4276, 0.2574)
S (0.5724, 0.9143, 0.7426)
S (0.2567, 0.2567, 0.7455)
S (0.4276, 0.0857, 0.2574)

=====

(10)
Compound: CdBiP2H
Source: Alexandria via LeMat-Bulk
Functional: PBE-GGA
Structure: optimized geometry

Summary:
* total DFT energy (no corrections): -0.115 hartree per atom
* DOS at the Fermi energy: 0.417 states/eV per atom
* symmetry: P4/mmm, No. 123

abc: 4.2973 4.8458 4.2973
angles: 90.00 90.00 90.00
Element x y z (fractional)
P (0.0000, 0.0000, 0.5000)
P (0.5000, 0.0000, 0.0000)
Bi (0.5000, 0.5000, 0.5000)
H (0.0000, 0.0000, 0.0000)
Cd (0.0000, 0.5000, 0.0000)

=====

(11)
Compound: Mg2GaCoN
Source: Alexandria via LeMat-Bulk
Functional: PBE-GGA
Structure: optimized geometry

Summary:
* DOS at the Fermi energy: 0.536 states/eV per atom
* symmetry: P4/mmm, No. 123
* raw formation energy: -219 meV/atom

abc: 4.3226 4.3226 3.7369
angles: 90.00 90.00 90.00
Element x y z (fractional)
Mg (0.0000, 0.5000, 0.0000)
Mg (0.5000, 0.0000, 0.0000)
Co (0.0000, 0.0000, 0.5000)
Ga (0.5000, 0.5000, 0.5000)
N (0.0000, 0.0000, 0.0000)

=====

(12)
Compound: Cs2P2Au
Source: Alexandria via LeMat-Bulk
Functional: PBE-GGA
Structure: optimized geometry

Summary:
* calculated formation energy: -22 meV per atom
* DOS at the Fermi energy: 0.308 states/eV per atom
* symmetry: I4/mmm, No. 139

abc: 3.6481 3.6481 11.4943
angles: 80.87 80.87 90.00
Element x y z (fractional)
Cs (0.3890, 0.3890, 0.2220)
Cs (0.6110, 0.6110, 0.7780)
P (0.7500, 0.2500, 0.5000)
P (0.2500, 0.7500, 0.5000)
Au (0.0000, 0.0000, 0.0000)